DFT (PBE) results for an optimized crystal structure of Ce3Bi2N2.

Cell: 4.0930 6.6703 7.1920 Å, 68.25 73.47 72.13°
Closest atoms and distances in Å follow each position.
Fractional coordinates of all 7 atoms:
Ce1 0.0000 0.0000 0.0000  2 N 2.28
Ce2 0.8021 0.6175 0.7784  3 N 2.28-2.36
Ce3 0.1979 0.3825 0.2216  3 N 2.28-2.36
Bi1 0.5738 0.2158 0.6366  4 Ce 3.20-3.41, 1 Bi 3.51
Bi2 0.4262 0.7842 0.3634  4 Ce 3.20-3.41, 1 Bi 3.51
N1 0.8000 0.3274 0.0726  4 Ce 2.28-2.36
N2 0.2000 0.6726 0.9274  4 Ce 2.28-2.36

Output
- formation energy without anion corrections (kJ/mol of formula units) = -780
- SG = C2/m, No. 12